# Sr4LiPt

Crystalline Sr4LiPt at its relaxed geometry (PBE, Alexandria via LeMat-Bulk).

- DFT formation energy: 0.597 eV per atom
- ρ: 3.72 g/cm³
- Relative energy among the computed polymorphs: 5.527 eV/f.u.
- Uncorrected energy: -1.850 eV per atom

Cell: 7.039 7.039 7.039 Å, 60.00 60.00 60.00°
Positions (direct):
Sr (0.374, 0.374, 0.878)
Sr (0.374, 0.374, 0.374)
Sr (0.374, 0.878, 0.374)
Sr (0.878, 0.374, 0.374)
Pt (0.000, 0.000, 0.000)
Li (0.750, 0.750, 0.750)

# Pa2P2PtN2

Crystalline Pa2P2PtN2 at its relaxed geometry (PBE, Alexandria via LeMat-Bulk).

- Formation energy from raw total energies: -449 kJ/mol of formula units
- ρ: 9.37 g/cm³
- Uncorrected energy: -8.165 eV per atom

Cell: 3.849 3.849 10.324 Å, 90.00 90.00 120.00°
Positions (direct):
N (0.667, 0.333, 0.803)
N (0.333, 0.667, 0.197)
Pa (0.333, 0.667, 0.798)
Pa (0.667, 0.333, 0.202)
Pt (0.000, 0.000, 0.000)
P (0.000, 0.000, 0.402)
P (0.000, 0.000, 0.598)

# SbPBr2

Crystalline SbPBr2 at its relaxed geometry (PBE, Alexandria via LeMat-Bulk).

- Formation energy from raw total energies: 42 kJ/mol of formula units
- ρ: 4.17 g/cm³
- Relative energy among the computed polymorphs: 1.235 eV/f.u.
- Uncorrected energy: -3.110 eV per atom

Cell: 7.827 7.827 7.827 Å, 152.38 145.80 44.51°
Positions (direct):
Sb (0.328, 0.828, 0.500)
Br (0.972, 0.972, 0.000)
Br (0.742, 0.242, 0.500)
P (0.458, 0.458, 0.000)

# HfCdFe4

Crystalline HfCdFe4 at its relaxed geometry (PBE, Alexandria via LeMat-Bulk).

- DFT formation energy: -0.092 eV per atom
- ρ: 10.12 g/cm³
- Uncorrected energy: -7.545 eV per atom

Cell: 4.923 4.923 4.923 Å, 60.00 60.00 60.00°
Each line ends with the local moment (μB).
Positions (direct):
Fe (0.625, 0.625, 0.625)  2.00
Fe (0.625, 0.124, 0.625)  2.00
Fe (0.625, 0.625, 0.124)  2.00
Fe (0.124, 0.625, 0.625)  2.00
Hf (0.250, 0.250, 0.250)  -0.46
Cd (0.000, 0.000, 0.000)  -0.05

Number 1: total moment 0.00 μB per cell. Number 2: total moment 0.00 μB per cell. Number 3: total moment 0.00 μB per cell. Number 4: total moment 7.32 μB per cell.